# Ce3Pa5As8, optimized geometry, DFT PBE
# M_tot (μB per atom): 0.0544
# ρ (g/cm3): 9.1
# Raw total energy (eV per atom): -7.6019
# Density of states at the Fermi level (states/eV per atom): 1.493
# Formation energy (eV per atom): -1.20
# Crystal system: trigonal
data_Ce3Pa5As8
_chemical_formula_sum 'Ce9 Pa15 As24'
_symmetry_space_group_name_H-M 'R -3 m'
_symmetry_Int_Tables_number 166
_symmetry_space_group_name_Hall '-R 3 2"'
_cell_length_a 8.2550
_cell_length_b 8.2550
_cell_length_c 20.2716
_cell_angle_alpha 90.00
_cell_angle_beta 90.00
_cell_angle_gamma 120.00
loop_
_atom_site_label
_atom_site_fract_x
_atom_site_fract_y
_atom_site_fract_z
_atom_site_occupancy
Ce1 0.0000 0.5000 0.0000 1
Pa1 0.0000 0.0000 0.0000 1
Pa2 0.0000 0.0000 0.5000 1
Pa3 0.0000 0.5000 0.5000 1
As1 0.0000 0.0000 0.2475 1
As2 0.0030 0.5015 0.7515 1